Entry 1:
A relaxed structure of K2NbFeO5. Source: Alexandria, functional PBE with a Hubbard U.

Geometry as CIF:
```
data_K2NbFeO5
_symmetry_space_group_name_H-M 'C m c 21'
_symmetry_Int_Tables_number 36
_symmetry_space_group_name_Hall 'C 2c -2'
_cell_length_a 3.2295
_cell_length_b 14.9459
_cell_length_c 12.4894
_cell_angle_alpha 90.00
_cell_angle_beta 90.00
_cell_angle_gamma 90.00
loop_
_atom_site_label
_atom_site_fract_x
_atom_site_fract_y
_atom_site_fract_z
K1 0.0000 0.0681 0.0000
K2 0.0000 0.1361 0.6671
Nb1 0.0000 0.2206 0.3834
Fe1 0.0000 0.4335 0.7708
O1 0.0000 0.0718 0.3597
O2 0.0000 0.2859 0.9824
O3 0.0000 0.2996 0.7717
O4 0.0000 0.3399 0.3565
O5 0.0000 0.4940 0.6485
```

Properties
total DFT energy (no corrections)	-0.49062	Ry per atom
theoretical density	3.38	g/cm³

Entry 2:
A relaxed structure of KNbFe2O6. Source: Alexandria, functional PBE with a Hubbard U.

Geometry as CIF:
```
data_KNbFe2O6
_symmetry_space_group_name_H-M 'C 1 2/c 1'
_symmetry_Int_Tables_number 15
_symmetry_space_group_name_Hall '-C 2yc'
_cell_length_a 9.3298
_cell_length_b 11.9609
_cell_length_c 6.5193
_cell_angle_alpha 90.00
_cell_angle_beta 114.37
_cell_angle_gamma 90.00
loop_
_atom_site_label
_atom_site_fract_x
_atom_site_fract_y
_atom_site_fract_z
K1 0.0000 0.1063 0.2500
Nb1 0.0000 0.1971 0.7500
Fe1 0.1234 0.4281 0.1582
O1 0.0857 0.2785 0.0193
O2 0.1168 0.4531 0.4530
O3 0.1439 0.0975 0.7158
```

Properties
total DFT energy (no corrections)	-0.52249	Ry per atom
theoretical density	3.40	g/cm³